Entry from Alexandria via LeMat-Bulk: an optimized crystal structure of AcTb6PmSm2 (PBE).

Values from the calculation:
volume: 687.31 Å³ per cell
E_form: 1.284 eV/f.u.
space group: No. 15
DOS(E_F): 30.78 states/eV per cell
magnetization: 0.00 μB/cell

```
AcTb6PmSm2
1.0
-4.117 -6.755 5.587
5.117 -6.018 -4.322
3.537 4.348 7.047
Tb Pm Sm Ac
12 2 4 2
direct
0.058 0.129 0.746
0.682 0.023 0.562
0.442 0.254 0.871
0.318 0.977 0.438
0.558 0.746 0.129
0.182 0.562 0.023
0.883 0.290 0.505
0.383 0.505 0.290
0.117 0.710 0.495
0.617 0.495 0.710
0.942 0.871 0.254
0.818 0.438 0.977
0.250 0.410 0.590
0.750 0.590 0.410
0.953 0.689 0.805
0.547 0.195 0.311
0.047 0.311 0.195
0.453 0.805 0.689
0.250 0.973 0.027
0.750 0.027 0.973
```